# CaMg6FeO8 | Alexandria | PBE+U | optimized geometry
data_CaMg6FeO8
_symmetry_space_group_name_H-M 'P 1'
_symmetry_Int_Tables_number 1
_cell_length_a 4.394
_cell_length_b 4.394
_cell_length_c 8.634
_cell_angle_alpha 90.00
_cell_angle_beta 90.00
_cell_angle_gamma 90.00
loop_
_symmetry_equiv_pos_as_xyz
'x,y,z'
loop_
_atom_site_label
_atom_site_fract_x
_atom_site_fract_y
_atom_site_fract_z
_atom_site_occupancy
Ca1 0.000 0.000 0.000 1
Mg1 0.000 0.000 0.500 1
Mg2 0.000 0.500 0.256 1
Mg3 0.000 0.500 0.744 1
Mg4 0.500 0.000 0.256 1
Mg5 0.500 0.000 0.744 1
Mg6 0.500 0.500 0.500 1
Fe1 0.500 0.500 0.000 1
O1 0.000 0.000 0.265 1
O2 0.000 0.000 0.735 1
O3 0.000 0.500 0.000 1
O4 0.000 0.500 0.500 1
O5 0.500 0.000 0.000 1
O6 0.500 0.000 0.500 1
O7 0.500 0.500 0.253 1
O8 0.500 0.500 0.747 1
# Energy above the lowest structure with this stoichiometry = 0.0000 eV per atom
# SG = P4/mmm
# Total magnetization = 0.248 μB/atom
# Total energy = -6.0624 eV/atom